(1)
{
  "formula": "TbCe2In4",
  "functional": "GGA-PBE",
  "state": "optimized geometry",
  "mass_density_g_cm3": 7.2,
  "formation_energy_ev_per_atom": -0.24,
  "dft_energy_ev_per_atom": -4.158,
  "relative_energy_ev_per_atom": 0.000,
  "magmom_total_mub_per_cell": 2.78,
  "lattice": [[-2.4437, 4.5092, -0.6000], [-4.0372, -2.4637, -2.0726], [0.0785, -1.7947, 8.4132]],
  "species": ["Ce", "In", "In", "Tb", "Ce", "In", "In"],
  "fractional_positions": [[0.7491, 0.7491, 0.4982], [0.3897, 0.8897, 0.7794], [0.6103, 0.1103, 0.2206], [0.0000, 0.0000, 0.0000], [0.2509, 0.2509, 0.5018], [0.1103, 0.6103, 0.2206], [0.8897, 0.3897, 0.7794]]
}


(2)
{
  "formula": "Tb3CeIn3",
  "functional": "GGA-PBE",
  "state": "optimized geometry",
  "mass_density_g_cm3": 7.9,
  "formation_energy_ev_per_atom": -0.30,
  "dft_energy_ev_per_atom": -4.305,
  "magmom_total_mub_per_cell": 2.35,
  "lattice": [[-4.0793, -3.0985, -1.0325], [1.8063, -4.9791, 7.8058], [-5.7635, 7.4575, 0.3907]],
  "species": ["In", "In", "In", "In", "Tb", "Tb", "Tb", "Ce", "In", "Tb", "Ce", "Tb", "Tb", "In"],
  "fractional_positions": [[0.7500, 0.4542, 0.0727], [0.7500, 0.9273, 0.3814], [0.2500, 0.5458, 0.9273], [0.2500, 0.0727, 0.6186], [0.7500, 0.7653, 0.9977], [0.7500, 0.2324, 0.2347], [0.2500, 0.7676, 0.7653], [0.2500, 0.6667, 0.3333], [0.2500, 0.3814, 0.4542], [0.2500, 0.9977, 0.2324], [0.7500, 0.3333, 0.6667], [0.2500, 0.2347, 0.0023], [0.7500, 0.0023, 0.7676], [0.7500, 0.6186, 0.5458]]
}


(3)
{
  "formula": "TbCeIn4",
  "functional": "GGA-PBE",
  "state": "optimized geometry",
  "mass_density_g_cm3": 8.0,
  "formation_energy_ev_per_atom": -0.32,
  "dft_energy_ev_per_atom": -3.910,
  "relative_energy_ev_per_atom": 0.065,
  "magmom_total_mub_per_cell": 1.19,
  "lattice": [[6.0541, 0.0000, 0.0000], [3.0271, 5.2430, 0.0000], [3.0271, 1.7477, 4.9432]],
  "species": ["Ce", "In", "Tb", "In", "In", "In"],
  "fractional_positions": [[0.0000, 0.0000, 0.0000], [0.6251, 0.6251, 0.1248], [0.2500, 0.2500, 0.2500], [0.1248, 0.6251, 0.6251], [0.6251, 0.6251, 0.6251], [0.6251, 0.1248, 0.6251]]
}


(4)
{
  "formula": "Tb2CeIn",
  "functional": "GGA-PBE",
  "state": "optimized geometry",
  "mass_density_g_cm3": 8.3,
  "formation_energy_ev_per_atom": -0.20,
  "dft_energy_ev_per_atom": -4.683,
  "relative_energy_ev_per_atom": 0.022,
  "magmom_total_mub_per_cell": 0.41,
  "lattice": [[3.5582, 0.0000, 0.0000], [0.0000, 3.5582, 0.0000], [0.0000, 0.0000, 9.0638]],
  "species": ["Ce", "Tb", "In", "Tb"],
  "fractional_positions": [[0.5000, 0.5000, 0.0000], [0.0000, 0.0000, 0.2663], [0.5000, 0.5000, 0.5000], [0.0000, 0.0000, 0.7337]]
}


Repeat the first record exactly.
{
  "formula": "TbCe2In4",
  "functional": "GGA-PBE",
  "state": "optimized geometry",
  "mass_density_g_cm3": 7.2,
  "formation_energy_ev_per_atom": -0.24,
  "dft_energy_ev_per_atom": -4.158,
  "relative_energy_ev_per_atom": 0.000,
  "magmom_total_mub_per_cell": 2.78,
  "lattice": [[-2.4437, 4.5092, -0.6000], [-4.0372, -2.4637, -2.0726], [0.0785, -1.7947, 8.4132]],
  "species": ["Ce", "In", "In", "Tb", "Ce", "In", "In"],
  "fractional_positions": [[0.7491, 0.7491, 0.4982], [0.3897, 0.8897, 0.7794], [0.6103, 0.1103, 0.2206], [0.0000, 0.0000, 0.0000], [0.2509, 0.2509, 0.5018], [0.1103, 0.6103, 0.2206], [0.8897, 0.3897, 0.7794]]
}